Below is a relaxed Dy3Mg3AlAu2 crystal, with properties calculated at the PBE level.

Properties
energy: -33.52 eV per cell
ρ: 7840 kg/m³

abc: 7.772 7.772 3.973
angles: 90.00 90.00 120.00
Sites, in units of the cell vectors:
Dy  0.000  0.586  0.000
Dy  0.414  0.414  0.000
Dy  0.586  0.000  0.000
Mg  0.000  0.255  0.500
Mg  0.255  0.000  0.500
Mg  0.745  0.745  0.500
Al  0.000  0.000  0.000
Au  0.333  0.667  0.500
Au  0.667  0.333  0.500

Below is a relaxed Dy3Mg3Al2Au crystal, with properties calculated at the PBE level.

Properties
energy: -33.32 eV per cell
ρ: 6449 kg/m³

abc: 7.440 7.440 4.358
angles: 90.00 90.00 120.00
Sites, in units of the cell vectors:
Dy  0.000  0.585  0.000
Dy  0.415  0.415  0.000
Dy  0.585  0.000  0.000
Mg  0.000  0.243  0.500
Mg  0.243  0.000  0.500
Mg  0.757  0.757  0.500
Al  0.333  0.667  0.500
Al  0.667  0.333  0.500
Au  0.000  0.000  0.000

Below is a relaxed Nd2DyAl3NiAu2 crystal, with properties calculated at the PBE level.

Properties
energy: -43.77 eV per cell
ρ: 8528 kg/m³

abc: 4.145 7.322 7.322
angles: 120.36 90.00 90.00
Sites, in units of the cell vectors:
Nd  0.000  0.201  0.799
Nd  0.000  0.799  0.201
Dy  0.000  0.601  0.601
Al  0.500  0.205  0.424
Al  0.500  0.424  0.205
Al  0.500  0.981  0.981
Ni  0.000  0.209  0.209
Au  0.500  0.538  0.858
Au  0.500  0.858  0.538

Below is a relaxed Dy2YAl3NiAu2 crystal, with properties calculated at the PBE level.

Properties
energy: -45.82 eV per cell
ρ: 8654 kg/m³

abc: 4.085 7.173 7.173
angles: 120.12 90.00 90.00
Sites, in units of the cell vectors:
Dy  0.000  0.201  0.799
Dy  0.000  0.799  0.201
Y  0.000  0.603  0.603
Al  0.500  0.201  0.425
Al  0.500  0.425  0.201
Al  0.500  0.977  0.977
Ni  0.000  0.199  0.199
Au  0.500  0.534  0.869
Au  0.500  0.869  0.534

Below is a relaxed Dy2Al4PtAu crystal, with properties calculated at the PBE level.

Properties
energy: -34.49 eV per cell
ρ: 6161 kg/m³

abc: 10.429 10.429 6.298
angles: 90.02 90.02 18.94
Sites, in units of the cell vectors:
Dy  0.000  0.000  0.000
Dy  0.743  0.743  0.001
Al  0.609  0.609  0.708
Al  0.610  0.610  0.297
Al  0.872  0.872  0.304
Al  0.872  0.872  0.698
Pt  0.135  0.135  0.003
Au  0.369  0.369  0.001

Below is a relaxed TbDy2Al3PtAu2 crystal, with properties calculated at the PBE level.

Properties
energy: -45.95 eV per cell
ρ: 10270 kg/m³

abc: 3.950 7.385 7.385
angles: 120.00 90.00 90.00
Sites, in units of the cell vectors:
Tb  0.000  0.000  0.000
Dy  0.000  0.411  0.820
Dy  0.000  0.820  0.411
Al  0.500  0.173  0.411
Al  0.500  0.411  0.173
Al  0.500  0.648  0.648
Pt  0.000  0.412  0.412
Au  0.500  0.078  0.743
Au  0.500  0.743  0.078

Below is a relaxed DyZrAl2Au4 crystal, with properties calculated at the PBE level.

Properties
energy: -39.04 eV per cell
ρ: 11572 kg/m³

abc: 4.532 4.532 8.839
angles: 90.00 90.00 120.00
Sites, in units of the cell vectors:
Dy  0.000  0.000  0.000
Zr  0.333  0.667  0.500
Al  0.667  0.333  0.300
Al  0.667  0.333  0.700
Au  0.000  0.000  0.337
Au  0.000  0.000  0.663
Au  0.333  0.667  0.166
Au  0.333  0.667  0.834

Below is a relaxed ErAlAu crystal, with properties calculated at the PBE level.

Properties
energy: -24.93 eV per cell
ρ: 9658 kg/m³

abc: 4.413 4.413 6.907
angles: 90.00 90.00 90.00
Sites, in units of the cell vectors:
Er  0.250  0.750  0.000
Er  0.750  0.250  0.000
Al  0.250  0.250  0.342
Al  0.750  0.750  0.658
Au  0.250  0.250  0.707
Au  0.750  0.750  0.293

Below is a relaxed ErAl7Au3 crystal, with properties calculated at the PBE level.

Properties
energy: -92.28 eV per cell
ρ: 7923 kg/m³

abc: 8.431 8.431 8.431
angles: 57.25 57.25 57.25
Sites, in units of the cell vectors:
Er  0.000  0.000  0.000
Er  0.500  0.500  0.500
Al  0.070  0.853  0.667
Al  0.147  0.333  0.930
Al  0.167  0.353  0.570
Al  0.250  0.250  0.250
Al  0.333  0.930  0.147
Al  0.353  0.570  0.167
Al  0.430  0.833  0.647
Al  0.570  0.167  0.353
Al  0.647  0.430  0.833
Al  0.667  0.070  0.853
Al  0.750  0.750  0.750
Al  0.833  0.647  0.430
Al  0.853  0.667  0.070
Al  0.930  0.147  0.333
Au  0.075  0.750  0.425
Au  0.250  0.575  0.925
Au  0.425  0.075  0.750
Au  0.575  0.925  0.250
Au  0.750  0.425  0.075
Au  0.925  0.250  0.575

Below is a relaxed Gd2ErAl3Ge2Au crystal, with properties calculated at the PBE level.

Properties
energy: -44.10 eV per cell
ρ: 8103 kg/m³

abc: 4.280 7.063 7.063
angles: 119.72 90.00 90.00
Sites, in units of the cell vectors:
Gd  0.000  0.207  0.793
Gd  0.000  0.793  0.207
Er  0.000  0.624  0.624
Al  0.500  0.208  0.446
Al  0.500  0.446  0.208
Al  0.500  0.972  0.972
Ge  0.500  0.542  0.871
Ge  0.500  0.871  0.542
Au  0.000  0.217  0.217

What is the formula in the third record?
Nd2DyAl3NiAu2

Which formula does entry 6 have?
TbDy2Al3PtAu2